Compound: Li4Mn3V2Ni3O16
Source: Alexandria
Functional: PBE+U
Structure: relaxed

Output
calculated volume	10.08	Å³ per atom
total magnetic moment	0.54	μB/atom
final energy	-6.3113	eV/atom

CIF file:
```
data_Li4Mn3V2Ni3O16
_chemical_formula_sum 'Li8 Mn6 V4 Ni6 O32'
_cell_length_a 10.286
_cell_length_b 5.801
_cell_length_c 9.462
_cell_angle_alpha 90.00
_cell_angle_beta 91.70
_cell_angle_gamma 90.00
_symmetry_space_group_name_H-M 'C 1 m 1'
_symmetry_Int_Tables_number 8
loop_
_symmetry_equiv_pos_as_xyz
'x,y,z'
'x,-y,z'
'x+1/2,y+1/2,z'
'x+1/2,-y+1/2,z'
loop_
_atom_site_label
_atom_site_type_symbol
_atom_site_fract_x
_atom_site_fract_y
_atom_site_fract_z
_atom_site_occupancy
Li1 Li 0.000 0.000 0.000 1
Li2 Li 0.008 0.000 0.509 1
Li3 Li 0.178 0.500 0.096 1
Li4 Li 0.333 0.000 0.592 1
Mn1 Mn 0.327 0.500 0.778 1
Mn2 Mn 0.422 0.248 0.280 1
V1 V 0.147 0.500 0.518 1
V2 V 0.335 0.000 0.000 1
Ni1 Ni 0.087 0.254 0.788 1
Ni2 Ni 0.180 0.000 0.283 1
O1 O 0.004 0.000 0.189 1
O2 O 0.019 0.500 0.638 1
O3 O 0.092 0.260 0.406 1
O4 O 0.178 0.000 0.922 1
O5 O 0.178 0.500 0.889 1
O6 O 0.247 0.287 0.649 1
O7 O 0.278 0.226 0.152 1
O8 O 0.351 0.500 0.390 1
O9 O 0.352 0.000 0.387 1
O10 O 0.410 0.242 0.905 1
O11 O 0.489 0.000 0.160 1
O12 O 0.493 0.500 0.697 1
```